Entry from Alexandria: crystalline PmCuTcGe2 at its relaxed geometry (PBE).

Properties
density of states at the Fermi level = 3.66 states/eV per cell
uncorrected energy = -6.10 eV/atom
total magnetization = 0.00 μB/f.u.
space group = I-4m2 (119)

Lattice parameters (Å, degrees): 6.1739 6.1739 6.1739 141.26 141.26 55.94
Sites, in units of the cell vectors:
Pm 0.0000 0.0000 0.0000
Cu 0.2500 0.7500 0.5000
Tc 0.7500 0.2500 0.5000
Ge 0.3779 0.3779 0.0000
Ge 0.6221 0.6221 0.0000